Entry 1:
Material: ZrAlTe3
Method: DFT, PBE
State: relaxed Values from VASP.

Quantum ESPRESSO input file:
```
&SYSTEM
  ibrav = 0, nat = 5, ntyp = 3
/
ATOMIC_SPECIES
Te 127.60 Te.upf
Zr 91.22 Zr.upf
Al 26.98 Al.upf
CELL_PARAMETERS angstrom
5.2483 0.0000 0.0000
0.0000 5.2483 0.0000
0.0000 0.0000 5.2483
ATOMIC_POSITIONS angstrom
Te 2.6241 0.0000 0.0000
Te 0.0000 2.6241 0.0000
Zr 2.6241 2.6241 2.6241
Te 0.0000 0.0000 2.6241
Al 0.0000 0.0000 0.0000
```

Crystal system: cubic
Space-group type: Pm-3m
Energy above the most stable polymorph in this dataset (meV/atom): 868
ΔE_f (raw) (kJ/mol of formula units): 132
Total magnetization (μB/f.u.): 0.82

***

Entry 2:
Material: Zr2AlTe
Method: DFT, PBE
State: relaxed Values from VASP.

Quantum ESPRESSO input file:
```
&SYSTEM
  ibrav = 0, nat = 4, ntyp = 3
/
ATOMIC_SPECIES
Zr 91.22 Zr.upf
Al 26.98 Al.upf
Te 127.60 Te.upf
CELL_PARAMETERS angstrom
5.0288 0.0056 0.0000
-1.0815 4.9112 0.0000
0.0000 0.0000 3.4620
ATOMIC_POSITIONS angstrom
Zr 1.9737 2.4584 0.0000
Al 2.5144 0.0028 1.7310
Te -0.5407 2.4556 1.7310
Zr 0.0000 0.0000 0.0000
```

Crystal system: orthorhombic
Space-group type: Cmmm
Energy above the most stable polymorph in this dataset (meV/atom): 64
ΔE_f (raw) (kJ/mol of formula units): -148
Total magnetization (μB/f.u.): 0.00

***

Entry 3:
Material: Zr2AlTe
Method: DFT, PBE
State: relaxed Values from VASP.

Quantum ESPRESSO input file:
```
&SYSTEM
  ibrav = 0, nat = 4, ntyp = 3
/
ATOMIC_SPECIES
Te 127.60 Te.upf
Zr 91.22 Zr.upf
Al 26.98 Al.upf
CELL_PARAMETERS angstrom
6.6967 -0.0009 -0.0023
-2.7346 4.2893 0.0058
1.2276 1.2270 3.0079
ATOMIC_POSITIONS angstrom
Te 1.9811 2.1442 0.0018
Zr 0.0000 0.0000 0.0000
Al -0.7535 2.7582 1.5069
Zr 3.9622 0.6131 1.5028
```

Crystal system: monoclinic
Space-group type: C2/m
Energy above the most stable polymorph in this dataset (meV/atom): 52
ΔE_f (raw) (kJ/mol of formula units): -153
Total magnetization (μB/f.u.): 0.00

***

Entry 4:
Material: ZrAlTe
Method: DFT, PBE
State: relaxed Values from VASP.

Quantum ESPRESSO input file:
```
&SYSTEM
  ibrav = 0, nat = 12, ntyp = 3
/
ATOMIC_SPECIES
Al 26.98 Al.upf
Zr 91.22 Zr.upf
Te 127.60 Te.upf
CELL_PARAMETERS angstrom
-0.4032 5.8210 -4.8059
-2.0288 -2.0137 -2.2689
-7.5188 0.1272 6.6103
ATOMIC_POSITIONS angstrom
Al -6.5723 2.7189 3.4637
Al -1.3497 3.2293 -1.6592
Zr -1.4101 3.4667 -4.7511
Al -6.1235 2.2860 0.5115
Zr -8.5407 0.4677 4.2866
Te -3.8455 4.1781 -3.2048
Zr -3.7668 1.4110 2.1159
Al -3.8272 1.6485 -0.9760
Zr -4.1551 4.5372 -0.3115
Te -1.3315 0.6997 0.5696
Te -6.5905 5.2485 1.2348
Te -6.1053 -0.2436 2.7403
```

Crystal system: monoclinic
Space-group type: C2/m
ΔE_f (raw) (kJ/mol of formula units): -146
Total magnetization (μB/f.u.): 0.00

***

Entry 5:
Material: ZrAlTe3
Method: DFT, PBE
State: relaxed Values from VASP.

Quantum ESPRESSO input file:
```
&SYSTEM
  ibrav = 0, nat = 10, ntyp = 3
/
ATOMIC_SPECIES
Al 26.98 Al.upf
Zr 91.22 Zr.upf
Te 127.60 Te.upf
CELL_PARAMETERS angstrom
4.0563 0.0000 0.0000
0.0000 6.7957 -1.9517
0.0000 0.0324 12.9197
ATOMIC_POSITIONS angstrom
Al 1.0141 5.2984 1.9425
Zr 1.0141 0.4829 8.2868
Te 3.0422 6.1071 8.0396
Te 1.0141 0.9428 2.8647
Al 3.0422 3.4925 8.4618
Te 3.0422 1.7125 6.4689
Te 1.0141 4.8470 4.5762
Te 1.0141 2.8557 10.0445
Zr 3.0422 2.8402 3.6879
Te 3.0422 3.9187 0.9389
```

Crystal system: orthorhombic
Space-group type: Ama2
Energy above the most stable polymorph in this dataset (meV/atom): 0
ΔE_f (raw) (kJ/mol of formula units): -287
Total magnetization (μB/f.u.): 0.58

***

Entry 6:
Material: ZrAlTe2
Method: DFT, PBE
State: relaxed Values from VASP.

Quantum ESPRESSO input file:
```
&SYSTEM
  ibrav = 0, nat = 4, ntyp = 3
/
ATOMIC_SPECIES
Al 26.98 Al.upf
Te 127.60 Te.upf
Zr 91.22 Zr.upf
CELL_PARAMETERS angstrom
-0.4409 1.2540 -3.3703
3.0059 -1.7353 -1.0389
-3.9755 -5.8864 -1.6701
ATOMIC_POSITIONS angstrom
Al -1.6991 -4.6555 -3.4572
Te -1.9102 -2.8284 -0.8025
Te -0.0776 -0.1148 -0.0326
Zr 0.2886 -1.7123 -2.6221
```

Crystal system: tetragonal
Space-group type: P4/mmm
ΔE_f (raw) (kJ/mol of formula units): -140
Total magnetization (μB/f.u.): 0.00

***

Entry 7:
Material: ZrAlTe2
Method: DFT, PBE
State: relaxed Values from VASP.

Quantum ESPRESSO input file:
```
&SYSTEM
  ibrav = 0, nat = 4, ntyp = 3
/
ATOMIC_SPECIES
Te 127.60 Te.upf
Zr 91.22 Zr.upf
Al 26.98 Al.upf
CELL_PARAMETERS angstrom
7.9660 0.0113 0.0068
6.9812 3.8367 0.0068
6.9812 1.7972 3.3897
ATOMIC_POSITIONS angstrom
Te 10.9541 2.8200 1.7001
Te 0.0101 0.0026 0.0016
Zr 5.4821 1.4113 0.8508
Al 16.4462 4.2339 2.5525
```

Crystal system: trigonal
Space-group type: R-3m
ΔE_f (raw) (kJ/mol of formula units): -169
Total magnetization (μB/f.u.): 0.00

***

Entry 8:
Material: ZrAlTe2
Method: DFT, PBE
State: relaxed Values from VASP.

Quantum ESPRESSO input file:
```
&SYSTEM
  ibrav = 0, nat = 4, ntyp = 3
/
ATOMIC_SPECIES
Al 26.98 Al.upf
Zr 91.22 Zr.upf
Te 127.60 Te.upf
CELL_PARAMETERS angstrom
-2.9483 -2.2300 0.1837
0.8752 -0.8697 3.4900
-3.2796 4.7159 4.6132
ATOMIC_POSITIONS angstrom
Al -3.2775 1.7697 6.1693
Zr -2.0753 -0.1535 2.1176
Te -1.0757 1.7792 4.3353
Te 0.7487 -0.7258 3.2064
```

Crystal system: monoclinic
Space-group type: P2/m
ΔE_f (raw) (kJ/mol of formula units): -152
Total magnetization (μB/f.u.): 0.00

***

Entry 9:
Material: ZrAl4Te
Method: DFT, PBE
State: relaxed Values from VASP.

Quantum ESPRESSO input file:
```
&SYSTEM
  ibrav = 0, nat = 6, ntyp = 3
/
ATOMIC_SPECIES
Te 127.60 Te.upf
Al 26.98 Al.upf
Zr 91.22 Zr.upf
CELL_PARAMETERS angstrom
1.3947 -4.7356 2.2421
-3.8044 -3.1985 2.1667
-1.3404 -4.6534 -2.4388
ATOMIC_POSITIONS angstrom
Te -2.8125 -9.4407 1.4775
Al -3.3309 -6.3200 1.8352
Al -1.3989 -4.6957 0.7349
Al -0.6907 -7.1006 1.8735
Zr 0.0000 0.0000 0.0000
Al -2.0796 -7.0588 -0.5036
```

Crystal system: cubic
Space-group type: F-43m
ΔE_f (raw) (kJ/mol of formula units): -107
Total magnetization (μB/f.u.): 0.00

***

Entry 10:
Material: ZrAlTe3
Method: DFT, PBE
State: relaxed Values from VASP.

Quantum ESPRESSO input file:
```
&SYSTEM
  ibrav = 0, nat = 5, ntyp = 3
/
ATOMIC_SPECIES
Te 127.60 Te.upf
Al 26.98 Al.upf
Zr 91.22 Zr.upf
CELL_PARAMETERS angstrom
-0.6667 3.5314 -4.3361
-5.4588 -1.3589 -0.2675
-1.2140 4.1712 3.5838
ATOMIC_POSITIONS angstrom
Te -2.7294 -0.6795 -0.1337
Al -3.6697 3.1719 -0.5098
Te -0.6070 2.0856 1.7919
Zr 0.0000 0.0000 0.0000
Te -0.3333 1.7657 -2.1680
```

Crystal system: cubic
Space-group type: Pm-3m
Energy above the most stable polymorph in this dataset (meV/atom): 514
ΔE_f (raw) (kJ/mol of formula units): -39
Total magnetization (μB/f.u.): 0.00

***

Entry 11:
Material: Zr2Al2Te7
Method: DFT, PBE
State: relaxed Values from VASP.

Quantum ESPRESSO input file:
```
&SYSTEM
  ibrav = 0, nat = 11, ntyp = 3
/
ATOMIC_SPECIES
Te 127.60 Te.upf
Zr 91.22 Zr.upf
Al 26.98 Al.upf
CELL_PARAMETERS angstrom
7.2042 -0.2743 -0.3136
-0.8267 7.5009 -0.5161
-0.8267 -1.5093 7.3656
ATOMIC_POSITIONS angstrom
Te 4.4042 2.4682 6.3221
Zr -0.8267 4.6736 1.9571
Te 3.6021 -0.1372 -0.1568
Te 4.7186 2.2420 2.5630
Te 4.4042 5.9375 3.2872
Te 0.8323 3.4753 3.9729
Te 1.1467 3.2491 0.2138
Zr -0.8267 1.3180 4.8924
Al 2.3887 1.3230 1.5125
Al 3.1622 4.3942 5.0234
Te 1.1467 -0.2203 3.2487
```

Crystal system: monoclinic
Space-group type: C2/m
ΔE_f (raw) (kJ/mol of formula units): -457
Total magnetization (μB/f.u.): 0.00

***

Entry 12:
Material: Zr2AlTe
Method: DFT, PBE
State: relaxed Values from VASP.

Quantum ESPRESSO input file:
```
&SYSTEM
  ibrav = 0, nat = 4, ntyp = 3
/
ATOMIC_SPECIES
Te 127.60 Te.upf
Zr 91.22 Zr.upf
Al 26.98 Al.upf
CELL_PARAMETERS angstrom
0.0000 3.5021 3.5021
3.5021 0.0000 3.5021
3.5021 3.5021 0.0000
ATOMIC_POSITIONS angstrom
Te 3.5021 3.5021 3.5021
Zr 1.7510 1.7510 1.7510
Al 0.0000 0.0000 0.0000
Zr 5.2531 5.2531 5.2531
```

Crystal system: cubic
Space-group type: Fm-3m
Energy above the most stable polymorph in this dataset (meV/atom): 185
ΔE_f (raw) (kJ/mol of formula units): -101
Total magnetization (μB/f.u.): 0.00

***

Entry 13:
Material: ZrAlTe2
Method: DFT, PBE
State: relaxed Values from VASP.

Quantum ESPRESSO input file:
```
&SYSTEM
  ibrav = 0, nat = 4, ntyp = 3
/
ATOMIC_SPECIES
Al 26.98 Al.upf
Te 127.60 Te.upf
Zr 91.22 Zr.upf
CELL_PARAMETERS angstrom
-1.5572 0.7858 -6.2019
-1.9523 -3.1833 -5.2498
-3.7765 0.6223 1.0269
ATOMIC_POSITIONS angstrom
Al -1.4024 -0.5576 -2.9065
Te -5.0262 -1.4323 -8.0571
Te -0.6080 -0.0152 -0.3159
Zr -3.8925 -0.6578 -4.3577
```

Crystal system: orthorhombic
Space-group type: Amm2
ΔE_f (raw) (kJ/mol of formula units): -213
Total magnetization (μB/f.u.): 0.00

***

Entry 14:
Material: ZrAlTe
Method: DFT, PBE
State: relaxed Values from VASP.

Quantum ESPRESSO input file:
```
&SYSTEM
  ibrav = 0, nat = 3, ntyp = 3
/
ATOMIC_SPECIES
Zr 91.22 Zr.upf
Al 26.98 Al.upf
Te 127.60 Te.upf
CELL_PARAMETERS angstrom
-1.9345 0.5654 2.9485
1.8230 -3.0473 -0.3827
5.1327 2.7131 2.8472
ATOMIC_POSITIONS angstrom
Zr 3.9638 -0.0494 2.6101
Al 5.0795 2.6850 2.8177
Te 1.1107 0.3087 2.8326
```

Crystal system: trigonal
Space-group type: P3m1
ΔE_f (raw) (kJ/mol of formula units): -67
Total magnetization (μB/f.u.): 0.00

***

Entry 15:
Material: Zr2AlTe
Method: DFT, PBE
State: relaxed Values from VASP.

Quantum ESPRESSO input file:
```
&SYSTEM
  ibrav = 0, nat = 8, ntyp = 3
/
ATOMIC_SPECIES
Al 26.98 Al.upf
Zr 91.22 Zr.upf
Te 127.60 Te.upf
CELL_PARAMETERS angstrom
6.0355 0.0000 0.0000
0.0000 6.0355 0.0000
3.0178 3.0178 7.0428
ATOMIC_POSITIONS angstrom
Al 3.0178 6.0355 3.5214
Zr 7.5444 7.3493 5.2821
Zr 1.7041 4.5267 1.7607
Zr 4.3315 1.5089 1.7607
Te 0.0000 0.0000 0.0000
Zr 4.5267 4.7218 5.2821
Al 3.0178 3.0178 0.0000
Te 6.0355 3.0178 3.5214
```

Crystal system: tetragonal
Space-group type: I-42d
Energy above the most stable polymorph in this dataset (meV/atom): 902
ΔE_f (raw) (kJ/mol of formula units): 176
Total magnetization (μB/f.u.): 0.00

***

Entry 16:
Material: ZrAlTe
Method: DFT, PBE
State: relaxed Values from VASP.

Quantum ESPRESSO input file:
```
&SYSTEM
  ibrav = 0, nat = 6, ntyp = 3
/
ATOMIC_SPECIES
Al 26.98 Al.upf
Te 127.60 Te.upf
Zr 91.22 Zr.upf
CELL_PARAMETERS angstrom
3.9043 0.0000 0.0000
0.0000 3.9043 0.0000
0.0000 0.0000 8.8613
ATOMIC_POSITIONS angstrom
Al 1.9522 1.9522 4.4306
Te 1.9522 0.0000 1.1355
Al 0.0000 0.0000 4.4306
Zr 1.9522 0.0000 6.7234
Te 0.0000 1.9522 7.7258
Zr 0.0000 1.9522 2.1379
```

Crystal system: tetragonal
Space-group type: P4/nmm
ΔE_f (raw) (kJ/mol of formula units): -176
Total magnetization (μB/f.u.): 0.00

***

Entry 17:
Material: ZrAlTe2
Method: DFT, PBE
State: relaxed Values from VASP.

Quantum ESPRESSO input file:
```
&SYSTEM
  ibrav = 0, nat = 4, ntyp = 3
/
ATOMIC_SPECIES
Te 127.60 Te.upf
Zr 91.22 Zr.upf
Al 26.98 Al.upf
CELL_PARAMETERS angstrom
5.3243 0.0036 -0.0095
4.1013 3.3952 -0.0095
0.5790 0.2088 5.4850
ATOMIC_POSITIONS angstrom
Te 0.9351 0.3372 5.3770
Zr 7.5034 2.7057 4.0995
Te 4.6462 1.6754 2.8410
Al 2.5011 0.9019 1.3665
```

Crystal system: monoclinic
Space-group type: C2/m
ΔE_f (raw) (kJ/mol of formula units): -83
Total magnetization (μB/f.u.): 0.00

***

Entry 18:
Material: Zr2AlTe
Method: DFT, PBE
State: relaxed Values from VASP.

Quantum ESPRESSO input file:
```
&SYSTEM
  ibrav = 0, nat = 4, ntyp = 3
/
ATOMIC_SPECIES
Zr 91.22 Zr.upf
Te 127.60 Te.upf
Al 26.98 Al.upf
CELL_PARAMETERS angstrom
-1.3225 4.9899 1.1445
0.1845 0.2022 5.2805
3.4277 -1.1825 -3.8485
ATOMIC_POSITIONS angstrom
Zr -1.1238 5.1275 6.3450
Te 1.5216 0.8079 2.3222
Zr -0.5832 2.6608 3.2926
Al 0.7681 3.2018 0.2543
```

Crystal system: orthorhombic
Space-group type: Immm
Energy above the most stable polymorph in this dataset (meV/atom): 43
ΔE_f (raw) (kJ/mol of formula units): -156
Total magnetization (μB/f.u.): 0.00

***

Entry 19:
Material: Zr2AlTe
Method: DFT, PBE
State: relaxed Values from VASP.

Quantum ESPRESSO input file:
```
&SYSTEM
  ibrav = 0, nat = 4, ntyp = 3
/
ATOMIC_SPECIES
Zr 91.22 Zr.upf
Al 26.98 Al.upf
Te 127.60 Te.upf
CELL_PARAMETERS angstrom
-2.4722 -0.2644 3.9591
-1.2934 -3.1218 -1.0162
3.3640 -3.9846 1.8345
ATOMIC_POSITIONS angstrom
Zr -0.4213 -2.3331 2.3414
Al 0.5824 -4.0111 0.0958
Zr 1.8049 -6.7016 0.6794
Te 0.7383 -4.9847 2.8883
```

Crystal system: orthorhombic
Space-group type: Amm2
Energy above the most stable polymorph in this dataset (meV/atom): 0
ΔE_f (raw) (kJ/mol of formula units): -172
Total magnetization (μB/f.u.): 0.00

***

Entry 20:
Material: Zr2Al2Te
Method: DFT, PBE
State: relaxed Values from VASP.

Quantum ESPRESSO input file:
```
&SYSTEM
  ibrav = 0, nat = 10, ntyp = 3
/
ATOMIC_SPECIES
Zr 91.22 Zr.upf
Al 26.98 Al.upf
Te 127.60 Te.upf
CELL_PARAMETERS angstrom
-0.4295 7.1587 1.9437
-6.7067 -1.2066 2.9620
1.6157 -0.8071 3.3295
ATOMIC_POSITIONS angstrom
Zr -3.8378 0.0710 4.0341
Zr -1.6827 5.0740 4.2011
Al -2.6100 0.3873 1.3604
Al -6.0764 1.6679 3.3529
Al -1.0598 4.2841 1.5528
Zr -0.5436 1.6609 2.8210
Te -3.5681 2.9760 2.4528
Te 0.0000 0.0000 0.0000
Zr -4.9769 3.4840 5.4142
Al -4.5261 5.5648 3.5453
```

Crystal system: tetragonal
Space-group type: P4/mbm
Energy above the most stable polymorph in this dataset (meV/atom): 93
ΔE_f (raw) (kJ/mol of formula units): -117
Total magnetization (μB/f.u.): 0.00

***

Result set for density of states at the Fermi level: 1.117 0.831 0.692 0.347 0.614 0.593 0.607 0.463 0.599 0.405 0.090 1.380 0.350 1.130 0.872 0.677 0.621 0.622 0.918 1.171 states/eV per atom, one per record in the order listed.